No. 1
Material: HfNbB3
Method: DFT, GGA-PBE
State: relaxed

The formation energy comes out at -0.918 eV per atom. Its magnetic moment is 0.00 μB per cell.

It has space group Cmcm (No. 63), with a = 3.408 Å, b = 19.676 Å, c = 3.162 Å, α = 90.00°, β = 90.00° and γ = 90.00°. The asymmetric unit holds Hf at (0.000, 0.070, 0.250), Nb at (0.000, 0.204, 0.750), B at (0.000, 0.335, 0.750), B at (0.000, 0.384, 0.250) and B at (0.000, 0.477, 0.250).

No. 2
Material: HfNbB3
Method: DFT, GGA-PBE
State: relaxed

The formation energy comes out at -0.780 eV per atom. Its magnetic moment is 0.00 μB per cell.

It has space group Cmcm (No. 63), with a = 3.405 Å, b = 20.012 Å, c = 3.151 Å, α = 90.00°, β = 90.00° and γ = 90.00°. The asymmetric unit holds Hf at (0.000, 0.201, 0.250), Nb at (0.000, 0.066, 0.750), B at (0.000, 0.341, 0.250), B at (0.000, 0.387, 0.750) and B at (0.000, 0.477, 0.750).

No. 3
Material: HfNbB3
Method: DFT, GGA-PBE
State: relaxed

The formation energy comes out at 0.846 eV per atom. Its magnetic moment is 0.00 μB per cell.

It has space group Pm-3m (No. 221), with a = 4.128 Å, b = 4.128 Å, c = 4.128 Å, α = 90.00°, β = 90.00° and γ = 90.00°. The asymmetric unit holds Hf at (0.000, 0.000, 0.000), Nb at (0.500, 0.500, 0.500) and B at (0.000, 0.500, 0.500).

No. 4
Material: HfNb2BSe
Method: DFT, GGA-PBE
State: relaxed

As for the uncorrected formation energy: 2.106 eV/atom. Its magnetic moment is 0.00 μB per cell.

It has space group P4/mmm (No. 123), with a = 5.039 Å, b = 5.039 Å, c = 4.863 Å, α = 90.00°, β = 90.00° and γ = 90.00°. The asymmetric unit holds Hf at (0.000, 0.000, 0.000), Nb at (0.000, 0.500, 0.000), B at (0.500, 0.500, 0.500) and Se at (0.000, 0.000, 0.500).

No. 5
Material: Y2HfNbB
Method: DFT, GGA-PBE
State: relaxed

The formation energy comes out at 1.444 eV per atom. Its magnetic moment is 2.55 μB per cell.

It has space group P4/mmm (No. 123), with a = 5.557 Å, b = 5.557 Å, c = 4.282 Å, α = 90.00°, β = 90.00° and γ = 90.00°. The asymmetric unit holds Y at (0.000, 0.500, 0.000), Hf at (0.000, 0.000, 0.000), Nb at (0.500, 0.500, 0.500) and B at (0.000, 0.000, 0.500).

No. 6
Material: NdHfB12
Method: DFT, GGA-PBE
State: relaxed

The formation energy comes out at -0.188 eV per atom. Its magnetic moment is 0.00 μB per cell.

It has space group P4/mmm (No. 123), with a = 4.089 Å, b = 4.089 Å, c = 8.155 Å, α = 90.00°, β = 90.00° and γ = 90.00°. The asymmetric unit holds Nd at (0.000, 0.000, 0.000), Hf at (0.000, 0.000, 0.500), B at (0.198, 0.500, 0.255), B at (0.500, 0.500, 0.101) and B at (0.500, 0.500, 0.403).